i:
CsRbBr2 PBE-GGA optimized geometry; symmetry = Pmmn (59)
1.0
5.066 0.000 0.000
0.000 7.200 0.000
0.000 0.000 10.186
Cs Rb Br
2 2 4
Direct
0.250 0.250 0.127
0.750 0.750 0.873
0.250 0.250 0.621
0.750 0.750 0.379
0.250 0.750 0.137
0.250 0.750 0.615
0.750 0.250 0.385
0.750 0.250 0.863

***

ii:
CsRbBr2 PBE-GGA optimized geometry; symmetry = R-3m (166)
1.0
5.514 0.000 0.000
-2.757 4.775 0.000
0.000 0.000 30.331
Cs Rb Br
3 3 6
Direct
0.000 0.000 0.000
0.333 0.667 0.667
0.667 0.333 0.333
0.000 0.000 0.500
0.333 0.667 0.167
0.667 0.333 0.833
0.000 0.000 0.397
0.000 0.000 0.603
0.333 0.667 0.063
0.333 0.667 0.270
0.667 0.333 0.730
0.667 0.333 0.937

***

iii:
CsRbBr2 PBE-GGA optimized geometry; symmetry = Fm-3m (225)
1.0
8.588 0.000 0.000
0.000 8.588 0.000
0.000 0.000 8.588
Cs Rb Br
4 4 8
Direct
0.000 0.000 0.000
0.000 0.500 0.500
0.500 0.000 0.500
0.500 0.500 0.000
0.000 0.000 0.500
0.000 0.500 0.000
0.500 0.000 0.000
0.500 0.500 0.500
0.250 0.250 0.250
0.250 0.250 0.750
0.250 0.750 0.250
0.250 0.750 0.750
0.750 0.250 0.250
0.750 0.250 0.750
0.750 0.750 0.250
0.750 0.750 0.750

***

iv:
CsRbBr2 PBE-GGA optimized geometry; symmetry = R3m (160)
1.0
4.969 0.000 0.000
-2.485 4.304 0.000
0.000 0.000 25.909
Cs Rb Br
3 3 6
Direct
0.000 0.000 0.000
0.333 0.667 0.667
0.667 0.333 0.333
0.000 0.000 0.169
0.333 0.667 0.836
0.667 0.333 0.503
0.000 0.000 0.580
0.000 0.000 0.756
0.333 0.667 0.247
0.333 0.667 0.423
0.667 0.333 0.090
0.667 0.333 0.913

***

Which of them is most stable? Easy: i.

***

i:
CsRbBr PBE-GGA optimized geometry; symmetry = P-3m1 (164)
1.0
5.110 0.000 0.000
-2.555 4.426 0.000
0.000 0.000 17.140
Cs Rb Br
2 2 2
Direct
0.333 0.667 0.131
0.667 0.333 0.869
0.000 0.000 0.371
0.000 0.000 0.629
0.333 0.667 0.742
0.667 0.333 0.258

***

ii:
CsRbBr PBE-GGA optimized geometry; symmetry = F-43m (216)
1.0
8.792 0.000 0.000
0.000 8.792 0.000
0.000 0.000 8.792
Cs Rb Br
4 4 4
Direct
0.000 0.000 0.000
0.000 0.500 0.500
0.500 0.000 0.500
0.500 0.500 0.000
0.000 0.000 0.500
0.000 0.500 0.000
0.500 0.000 0.000
0.500 0.500 0.500
0.250 0.250 0.750
0.250 0.750 0.250
0.750 0.250 0.250
0.750 0.750 0.750

***

iii:
CsRbBr PBE-GGA optimized geometry; symmetry = P3m1 (156)
1.0
5.077 0.000 0.000
-2.538 4.397 0.000
0.000 0.000 8.778
Cs Rb Br
1 1 1
Direct
0.000 0.000 0.000
0.333 0.667 0.482
0.667 0.333 0.252

***

Which of them is most stable? Easy: iii.